Model i:
{
  "formula": "UV2H",
  "functional": "PBE",
  "state": "relaxed",
  "m_tot_mub_per_atom": 0.00,
  "spacegroup": "R-3m, No. 166",
  "dos_at_fermi_per_ev_cell": 3.0,
  "lattice": [[2.886, 0.000, 0.000], [1.443, 2.499, 0.000], [1.443, 0.833, 6.927]],
  "species": ["V", "V", "U", "H"],
  "frac_coords": [[0.880, 0.880, 0.359], [0.120, 0.120, 0.641], [0.000, 0.000, 0.000], [0.500, 0.500, 0.500]]
}

Model ii:
{
  "formula": "UV2H",
  "functional": "PBE",
  "state": "relaxed",
  "m_tot_mub_per_atom": 0.52,
  "spacegroup": "P4/mmm, No. 123",
  "dos_at_fermi_per_ev_cell": 6.0,
  "lattice": [[3.245, 0.000, 0.000], [0.000, 3.245, 0.000], [0.000, 0.000, 5.233]],
  "species": ["V", "V", "U", "H"],
  "frac_coords": [[0.000, 0.000, 0.745], [0.000, 0.000, 0.255], [0.500, 0.500, 0.000], [0.500, 0.500, 0.500]]
}

model i is preferred energetically. Next in line: 0.526 eV/atom higher.

Model i:
{
  "formula": "V4H",
  "functional": "PBE",
  "state": "relaxed",
  "m_tot_mub_per_atom": 0.00,
  "spacegroup": "Pm-3m, No. 221",
  "dos_at_fermi_per_ev_cell": 7.1,
  "lattice": [[-2.847, -1.056, 2.381], [0.073, -3.558, -1.491], [2.603, -1.055, 2.645]],
  "species": ["V", "V", "V", "V", "H"],
  "frac_coords": [[0.000, 0.000, 0.000], [0.500, 0.000, 0.500], [0.000, 0.500, 0.500], [0.500, 0.500, 0.000], [0.500, 0.500, 0.500]]
}

Model ii:
{
  "formula": "V4H",
  "functional": "PBE",
  "state": "relaxed",
  "m_tot_mub_per_atom": 0.00,
  "spacegroup": "I4_1/amd, No. 141",
  "dos_at_fermi_per_ev_cell": 11.3,
  "lattice": [[5.281, 0.127, 0.000], [-1.918, 4.922, 0.000], [-1.681, -2.524, 4.325]],
  "species": ["V", "V", "V", "V", "V", "V", "V", "V", "H", "H"],
  "frac_coords": [[0.198, 0.939, 0.741], [0.198, 0.457, 0.259], [0.713, 0.954, 0.241], [0.189, 0.948, 0.241], [0.204, 0.463, 0.741], [0.713, 0.472, 0.759], [0.722, 0.463, 0.259], [0.707, 0.948, 0.759], [0.330, 0.330, 0.000], [0.580, 0.080, 0.500]]
}

model ii is preferred energetically. Next in line: 0.180 eV/atom higher.

Model i:
{
  "formula": "V2HW",
  "functional": "PBE",
  "state": "relaxed",
  "m_tot_mub_per_atom": 0.00,
  "spacegroup": "R-3m, No. 166",
  "dos_at_fermi_per_ev_cell": 3.9,
  "lattice": [[-1.973, 1.141, -1.796], [-2.829, -0.359, 0.535], [-1.630, 5.594, 3.002]],
  "species": ["H", "W", "V", "V"],
  "frac_coords": [[0.500, 0.500, 0.500], [0.000, 0.000, 0.000], [0.775, 0.775, 0.674], [0.225, 0.225, 0.326]]
}

Model ii:
{
  "formula": "V2HW",
  "functional": "PBE",
  "state": "relaxed",
  "m_tot_mub_per_atom": 0.00,
  "spacegroup": "Fm-3m, No. 225",
  "dos_at_fermi_per_ev_cell": 5.0,
  "lattice": [[0.000, 2.955, 2.955], [2.955, 0.000, 2.955], [2.955, 2.955, 0.000]],
  "species": ["H", "V", "V", "W"],
  "frac_coords": [[0.000, 0.000, 0.000], [0.750, 0.750, 0.750], [0.250, 0.250, 0.250], [0.500, 0.500, 0.500]]
}

Model iii:
{
  "formula": "V2HW",
  "functional": "PBE",
  "state": "relaxed",
  "m_tot_mub_per_atom": 0.00,
  "spacegroup": "Fd-3m, No. 227",
  "dos_at_fermi_per_ev_cell": 7.6,
  "lattice": [[5.132, 0.000, 0.000], [0.000, 5.132, 0.000], [2.566, 2.566, 3.625]],
  "species": ["V", "V", "V", "V", "W", "W", "H", "H"],
  "frac_coords": [[0.375, 0.625, 0.250], [0.875, 0.625, 0.750], [0.375, 0.625, 0.750], [0.375, 0.125, 0.250], [0.750, 0.250, 0.500], [0.000, 0.000, 0.000], [0.250, 0.750, 0.500], [0.500, 0.500, 0.000]]
}

model i is preferred energetically. Next in line: 0.096 eV/atom higher.

Model i:
{
  "formula": "VHW2",
  "functional": "PBE",
  "state": "relaxed",
  "m_tot_mub_per_atom": 0.37,
  "spacegroup": "I4_1/amd, No. 141",
  "dos_at_fermi_per_ev_cell": 7.4,
  "lattice": [[-0.931, -2.872, -4.540], [1.389, -4.580, 2.612], [-3.452, -4.230, 0.110]],
  "species": ["H", "H", "W", "W", "W", "W", "V", "V"],
  "frac_coords": [[0.500, 0.500, 0.000], [0.250, 0.750, 0.500], [0.375, 0.625, 0.750], [0.375, 0.625, 0.250], [0.375, 0.125, 0.250], [0.875, 0.625, 0.750], [0.000, 0.000, 0.000], [0.750, 0.250, 0.500]]
}

Model ii:
{
  "formula": "VHW2",
  "functional": "PBE",
  "state": "relaxed",
  "m_tot_mub_per_atom": 0.00,
  "spacegroup": "Fm-3m, No. 225",
  "dos_at_fermi_per_ev_cell": 3.9,
  "lattice": [[-2.669, -0.072, 3.258], [-2.128, 3.478, 1.056], [-4.152, 0.214, -0.674]],
  "species": ["W", "W", "V", "H"],
  "frac_coords": [[0.250, 0.250, 0.250], [0.750, 0.750, 0.750], [0.500, 0.500, 0.500], [0.000, 0.000, 0.000]]
}

Model iii:
{
  "formula": "VHW2",
  "functional": "PBE",
  "state": "relaxed",
  "m_tot_mub_per_atom": 0.00,
  "spacegroup": "R-3m, No. 166",
  "dos_at_fermi_per_ev_cell": 3.4,
  "lattice": [[2.797, 0.000, 0.000], [1.399, 2.422, 0.000], [1.399, 0.807, 7.545]],
  "species": ["W", "W", "H", "V"],
  "frac_coords": [[0.891, 0.891, 0.328], [0.109, 0.109, 0.672], [0.500, 0.500, 0.500], [0.000, 0.000, 0.000]]
}

model iii is preferred energetically. Next in line: 0.156 eV/atom higher.

Model i:
{
  "formula": "VH3W",
  "functional": "PBE",
  "state": "relaxed",
  "m_tot_mub_per_atom": 0.41,
  "spacegroup": "Pm-3m, No. 221",
  "dos_at_fermi_per_ev_cell": 3.8,
  "lattice": [[-1.422, 2.064, -2.423], [-0.699, -2.792, -1.968], [-3.106, -0.317, 1.552]],
  "species": ["V", "H", "H", "H", "W"],
  "frac_coords": [[0.500, 0.500, 0.500], [0.500, 0.000, 0.000], [0.000, 0.500, 0.000], [0.000, 0.000, 0.500], [0.000, 0.000, 0.000]]
}

Model ii:
{
  "formula": "VH3W",
  "functional": "PBE",
  "state": "relaxed",
  "m_tot_mub_per_atom": 0.00,
  "spacegroup": "Pm-3m, No. 221",
  "dos_at_fermi_per_ev_cell": 3.2,
  "lattice": [[3.328, 0.000, 0.000], [0.000, 3.328, 0.000], [0.000, 0.000, 3.328]],
  "species": ["V", "H", "H", "H", "W"],
  "frac_coords": [[0.000, 0.000, 0.000], [0.000, 0.000, 0.500], [0.000, 0.500, 0.000], [0.500, 0.000, 0.000], [0.500, 0.500, 0.500]]
}

model ii is preferred energetically. Next in line: 0.039 eV/atom higher.

Model i:
{
  "formula": "YVH2",
  "functional": "PBE",
  "state": "relaxed",
  "m_tot_mub_per_atom": 0.00,
  "spacegroup": "I-42d, No. 122",
  "dos_at_fermi_per_ev_cell": 4.7,
  "lattice": [[5.060, 0.000, 0.000], [0.000, 5.060, 0.000], [2.530, 2.530, 3.644]],
  "species": ["H", "H", "H", "H", "V", "V", "Y", "Y"],
  "frac_coords": [[0.193, 0.625, 0.250], [0.375, 0.443, 0.750], [0.557, 0.125, 0.250], [0.875, 0.807, 0.750], [0.250, 0.750, 0.500], [0.500, 0.500, 0.000], [0.000, 0.000, 0.000], [0.750, 0.250, 0.500]]
}

Model ii:
{
  "formula": "YVH2",
  "functional": "PBE",
  "state": "relaxed",
  "m_tot_mub_per_atom": 0.03,
  "spacegroup": "R-3m, No. 166",
  "dos_at_fermi_per_ev_cell": 4.1,
  "lattice": [[3.162, 0.000, 0.000], [1.581, 2.738, 0.000], [1.581, 0.913, 5.109]],
  "species": ["H", "H", "V", "Y"],
  "frac_coords": [[0.221, 0.221, 0.336], [0.779, 0.779, 0.664], [0.500, 0.500, 0.500], [0.000, 0.000, 0.000]]
}

model i is preferred energetically. Next in line: 0.094 eV/atom higher.

Model i:
{
  "formula": "VZnH3",
  "functional": "PBE",
  "state": "relaxed",
  "m_tot_mub_per_atom": 0.34,
  "spacegroup": "Pm-3m, No. 221",
  "dos_at_fermi_per_ev_cell": 1.3,
  "lattice": [[-3.314, 0.955, -0.136], [-0.518, -2.171, -2.632], [-0.813, -2.507, 2.228]],
  "species": ["V", "H", "H", "H", "Zn"],
  "frac_coords": [[0.000, 0.000, 0.000], [0.000, 0.500, 0.000], [0.500, 0.000, 0.000], [0.000, 0.000, 0.500], [0.500, 0.500, 0.500]]
}

Model ii:
{
  "formula": "VZnH3",
  "functional": "PBE",
  "state": "relaxed",
  "m_tot_mub_per_atom": 0.40,
  "spacegroup": "Pm-3m, No. 221",
  "dos_at_fermi_per_ev_cell": 1.3,
  "lattice": [[-2.679, 2.006, 0.720], [-1.417, -2.540, 1.805], [1.592, 1.115, 2.818]],
  "species": ["H", "H", "H", "Zn", "V"],
  "frac_coords": [[0.000, 0.500, 0.000], [0.500, 0.000, 0.000], [0.000, 0.000, 0.500], [0.000, 0.000, 0.000], [0.500, 0.500, 0.500]]
}

model i is preferred energetically. Next in line: 0.411 eV/atom higher.

Model i:
{
  "formula": "V3ZnH",
  "functional": "PBE",
  "state": "relaxed",
  "m_tot_mub_per_atom": 0.00,
  "spacegroup": "P2_1/m, No. 11",
  "dos_at_fermi_per_ev_cell": 9.9,
  "lattice": [[-1.137, -0.626, 2.228], [-4.149, -2.274, -2.729], [3.864, -7.042, -0.007]],
  "species": ["V", "V", "V", "V", "V", "V", "Zn", "Zn", "H", "H"],
  "frac_coords": [[0.582, 0.000, 0.750], [0.001, 0.743, 0.000], [0.418, 0.000, 0.250], [0.001, 0.743, 0.500], [0.999, 0.257, 0.000], [0.999, 0.257, 0.500], [0.508, 0.499, 0.250], [0.492, 0.501, 0.750], [0.500, 0.000, 0.000], [0.500, 0.000, 0.500]]
}

Model ii:
{
  "formula": "V3ZnH",
  "functional": "PBE",
  "state": "relaxed",
  "m_tot_mub_per_atom": 0.11,
  "spacegroup": "Pm-3m, No. 221",
  "dos_at_fermi_per_ev_cell": 7.1,
  "lattice": [[-1.831, 2.683, 2.031], [-1.259, -2.690, 2.418], [3.120, 0.488, 2.168]],
  "species": ["Zn", "V", "V", "V", "H"],
  "frac_coords": [[0.500, 0.500, 0.500], [0.000, 0.000, 0.500], [0.500, 0.000, 0.000], [0.000, 0.500, 0.000], [0.000, 0.000, 0.000]]
}

model ii is preferred energetically. Next in line: 0.043 eV/atom higher.

Model i:
{
  "formula": "VZn3H",
  "functional": "PBE",
  "state": "relaxed",
  "m_tot_mub_per_atom": 0.95,
  "spacegroup": "Pm-3m, No. 221",
  "dos_at_fermi_per_ev_cell": 4.2,
  "lattice": [[-4.773, -1.683, 0.497], [0.870, -3.521, -3.566], [1.524, -3.261, 3.592]],
  "species": ["H", "Zn", "Zn", "Zn", "V"],
  "frac_coords": [[0.500, 0.500, 0.500], [0.000, 0.500, 0.000], [0.500, 0.000, 0.000], [0.000, 0.000, 0.500], [0.000, 0.000, 0.000]]
}

Model ii:
{
  "formula": "VZn3H",
  "functional": "PBE",
  "state": "relaxed",
  "m_tot_mub_per_atom": 0.36,
  "spacegroup": "Pm-3m, No. 221",
  "dos_at_fermi_per_ev_cell": 2.5,
  "lattice": [[3.942, 0.000, 0.000], [0.000, 3.942, 0.000], [0.000, 0.000, 3.942]],
  "species": ["H", "Zn", "Zn", "Zn", "V"],
  "frac_coords": [[0.000, 0.000, 0.000], [0.500, 0.000, 0.000], [0.000, 0.500, 0.000], [0.000, 0.000, 0.500], [0.500, 0.500, 0.500]]
}

model ii is preferred energetically. Next in line: 0.928 eV/atom higher.

Model i:
{
  "formula": "V3ZnH3",
  "functional": "PBE",
  "state": "relaxed",
  "m_tot_mub_per_atom": 0.00,
  "spacegroup": "Pm-3n, No. 223",
  "dos_at_fermi_per_ev_cell": 6.0,
  "lattice": [[5.002, 0.000, 0.000], [0.000, 5.002, 0.000], [0.000, 0.000, 5.002]],
  "species": ["V", "V", "V", "V", "V", "V", "H", "H", "H", "H", "H", "H", "Zn", "Zn"],
  "frac_coords": [[0.500, 0.000, 0.250], [0.750, 0.500, 0.000], [0.250, 0.500, 0.000], [0.500, 0.000, 0.750], [0.000, 0.750, 0.500], [0.000, 0.250, 0.500], [0.000, 0.500, 0.750], [0.000, 0.500, 0.250], [0.500, 0.750, 0.000], [0.250, 0.000, 0.500], [0.500, 0.250, 0.000], [0.750, 0.000, 0.500], [0.000, 0.000, 0.000], [0.500, 0.500, 0.500]]
}

Model ii:
{
  "formula": "V3ZnH3",
  "functional": "PBE",
  "state": "relaxed",
  "m_tot_mub_per_atom": 0.00,
  "spacegroup": "R-3, No. 148",
  "dos_at_fermi_per_ev_cell": 7.9,
  "lattice": [[-0.114, 2.176, -5.011], [-4.008, -1.333, -3.466], [-4.462, 4.557, -0.899]],
  "species": ["V", "V", "V", "V", "V", "V", "H", "H", "H", "H", "H", "H", "Zn", "Zn"],
  "frac_coords": [[0.542, 0.225, 0.352], [0.775, 0.119, 0.648], [0.225, 0.881, 0.352], [0.881, 0.542, 0.352], [0.458, 0.775, 0.648], [0.119, 0.458, 0.648], [0.890, 0.214, 0.329], [0.433, 0.110, 0.671], [0.786, 0.433, 0.671], [0.567, 0.890, 0.329], [0.214, 0.567, 0.329], [0.110, 0.786, 0.671], [0.333, 0.333, 0.000], [0.667, 0.667, 0.000]]
}

model i is preferred energetically. Next in line: 0.251 eV/atom higher.

Model i:
{
  "formula": "VZn2H2",
  "functional": "PBE",
  "state": "relaxed",
  "m_tot_mub_per_atom": 0.00,
  "spacegroup": "I4/mmm, No. 139",
  "dos_at_fermi_per_ev_cell": 4.1,
  "lattice": [[2.728, 0.000, 0.000], [0.000, 2.728, 0.000], [1.364, 1.364, 6.721]],
  "species": ["H", "H", "Zn", "Zn", "V"],
  "frac_coords": [[0.250, 0.750, 0.500], [0.750, 0.250, 0.500], [0.355, 0.355, 0.291], [0.645, 0.645, 0.709], [0.000, 0.000, 0.000]]
}

Model ii:
{
  "formula": "VZn2H2",
  "functional": "PBE",
  "state": "relaxed",
  "m_tot_mub_per_atom": 0.17,
  "spacegroup": "P4/mbm, No. 127",
  "dos_at_fermi_per_ev_cell": 2.9,
  "lattice": [[5.304, 0.000, 0.000], [0.000, 5.304, 0.000], [0.000, 0.000, 3.775]],
  "species": ["H", "H", "H", "H", "Zn", "Zn", "Zn", "Zn", "V", "V"],
  "frac_coords": [[0.211, 0.289, 0.000], [0.289, 0.789, 0.000], [0.711, 0.211, 0.000], [0.789, 0.711, 0.000], [0.728, 0.228, 0.500], [0.772, 0.728, 0.500], [0.228, 0.272, 0.500], [0.272, 0.772, 0.500], [0.500, 0.500, 0.000], [0.000, 0.000, 0.000]]
}

model ii is preferred energetically. Next in line: 0.288 eV/atom higher.

Model i:
{
  "formula": "HW",
  "functional": "PBE",
  "state": "relaxed",
  "m_tot_mub_per_atom": 0.00,
  "spacegroup": "I-43m, No. 217",
  "dos_at_fermi_per_ev_cell": 8.9,
  "lattice": [[5.550, 0.000, 0.000], [0.000, 5.550, 0.000], [0.000, 0.000, 5.550]],
  "species": ["W", "W", "W", "W", "W", "W", "W", "W", "H", "H", "H", "H", "H", "H", "H", "H"],
  "frac_coords": [[0.297, 0.297, 0.297], [0.203, 0.797, 0.203], [0.297, 0.703, 0.703], [0.797, 0.203, 0.203], [0.797, 0.797, 0.797], [0.203, 0.203, 0.797], [0.703, 0.297, 0.703], [0.703, 0.703, 0.297], [0.617, 0.383, 0.383], [0.617, 0.617, 0.617], [0.117, 0.883, 0.883], [0.117, 0.117, 0.117], [0.883, 0.117, 0.883], [0.383, 0.383, 0.617], [0.383, 0.617, 0.383], [0.883, 0.883, 0.117]]
}

Model ii:
{
  "formula": "HW",
  "functional": "PBE",
  "state": "relaxed",
  "m_tot_mub_per_atom": 0.00,
  "spacegroup": "P4/nmm, No. 129",
  "dos_at_fermi_per_ev_cell": 1.5,
  "lattice": [[2.952, 0.000, 0.440], [0.000, 2.985, 0.000], [-0.626, 0.000, 4.205]],
  "species": ["W", "W", "H", "H"],
  "frac_coords": [[0.250, 0.250, 0.217], [0.750, 0.750, 0.783], [0.750, 0.250, 0.500], [0.250, 0.750, 0.500]]
}

model ii is preferred energetically. Next in line: 0.632 eV/atom higher.